First-principles (PBE) data for a relaxed structure of Er2Th, as listed in OQMD.

Formation energy from the elements: 2.642 eV/atom

Lattice parameters (Å, degrees): 10.015 10.015 10.015 60.00 60.00 60.00
Sites, in units of the cell vectors:
1 Er 0.375 0.375 0.875
2 Er 0.375 0.875 0.375
3 Er 0.375 0.375 0.375
4 Er 0.875 0.375 0.375
5 Th 0.500 0.500 0.500
6 Th 0.250 0.250 0.250

First-principles (PBE) data for a relaxed structure of PmCF, as listed in OQMD.

Lattice parameters (Å, degrees): 3.990 3.990 6.740 97.23 97.23 56.65
Sites, in units of the cell vectors:
1 F 0.678 0.678 0.600
2 F 0.322 0.322 0.400
3 C 0.071 0.071 0.943
4 C 0.929 0.929 0.057
5 Pm 0.657 0.657 0.230
6 Pm 0.343 0.343 0.770

| no. | calculated density (Mg/m³) | energy (eV for the cell shown) |
| --- | --- | --- |
| 1 | 2.65 | -17.23 |
| 2 | 6.59 | -43.28 |